# Hf2FeSi (GGA-PBE, relaxed)
# Total DFT energy (no corrections)   -8.902 eV per atom
# Formation energy (no corrections)   -454 meV per atom
data_Hf2FeSi
_cell_length_a 6.2524
_cell_length_b 7.9976
_cell_length_c 5.1944
_cell_angle_alpha 90.00
_cell_angle_beta 91.87
_cell_angle_gamma 90.00
_symmetry_space_group_name_H-M 'C 1 2/m 1'
_symmetry_Int_Tables_number 12
loop_
_symmetry_equiv_pos_as_xyz
'x,y,z'
'-x,-y,-z'
'-x,y,-z'
'x,-y,z'
'x+1/2,y+1/2,z'
'-x+1/2,-y+1/2,-z'
'-x+1/2,y+1/2,-z'
'x+1/2,-y+1/2,z'
loop_
_atom_site_label
_atom_site_type_symbol
_atom_site_fract_x
_atom_site_fract_y
_atom_site_fract_z
_atom_site_occupancy
Hf1 Hf 0.1489 0.1955 0.2478 1
Fe1 Fe 0.1646 0.0000 0.7233 1
Si1 Si 0.0000 0.5000 0.0000 1
Si2 Si 0.0000 0.5000 0.5000 1